# 1
A relaxed MgRuBr2 crystal, computed with PBE.

Cell: 4.6558 4.6558 7.8013 Å, 99.61 99.61 42.17°
Element x y z (fractional)
Mg  0.0000  0.0000  0.0000
Ru  0.7439  0.7439  0.1188
Br  0.3005  0.3005  0.3475
Br  0.6360  0.6360  0.7948

Output
Excess energy over the best structure of this formula in the dataset in meV per atom: 72.4
Magnetic moment in μB per cell: 0.00
Calculated total energy in eV/atom: -3.741
Calculated density in g/cm³: 4.24
SG: Cm


# 2
A relaxed Mg2RuBr2 crystal, computed with PBE.

Cell: 6.9580 6.9580 4.5257 Å, 90.00 90.00 90.00°
Element x y z (fractional)
Mg  0.1733  0.3267  0.0000
Mg  0.3267  0.8267  0.0000
Mg  0.6733  0.1733  0.0000
Mg  0.8267  0.6733  0.0000
Ru  0.0000  0.0000  0.5000
Ru  0.5000  0.5000  0.5000
Br  0.1712  0.6712  0.5000
Br  0.3288  0.1712  0.5000
Br  0.6712  0.8288  0.5000
Br  0.8288  0.3288  0.5000

Output
Excess energy over the best structure of this formula in the dataset in meV per atom: 71.3
Magnetic moment in μB per cell: 1.13
Calculated total energy in eV/atom: -2.969
Calculated density in g/cm³: 4.69
SG: P4/mbm
Fermi-level density of states in states/eV/f.u.: 2.63


# 3
A relaxed MgRuBr crystal, computed with PBE.

Cell: 6.1325 6.1325 6.1325 Å, 150.17 150.17 42.70°
Element x y z (fractional)
Mg  0.0000  0.0000  0.0000
Ru  0.3563  0.3563  0.0000
Br  0.7078  0.7078  0.0000

Output
Excess energy over the best structure of this formula in the dataset in meV per atom: 54.2
Magnetic moment in μB per cell: 1.12
Calculated total energy in eV/atom: -3.890
Calculated density in g/cm³: 5.99
SG: I4mm
Fermi-level density of states in states/eV/f.u.: 2.47